A geometry-optimized KU4Cu3Te12 structure. Source: Alexandria, functional PBE.

Properties
**V**: 1324.7 Å³/cell
**Formation energy (no corrections)**: -328 meV per atom
**M_tot**: 8.965 Bohr magnetons per cell

Cell lengths 10.983, 10.983, 10.983 Å; angles 90.00, 90.00, 90.00 degrees
Space group Im-3 (No. 204)
Asymmetric unit:
1 K 0.000 0.000 0.000 [2 per cell]
2 U 0.250 0.250 0.250 [8 per cell]
3 Cu 0.000 0.000 0.500 [6 per cell]
4 Te 0.000 0.168 0.322 [24 per cell]